# GGA-PBE La2YZrV, relaxed
# Formation energy from the elements in eV/f.u.: 4.18
# Raw total energy in eV per atom: -5.96
# Calculated volume in Å³/atom: 32.1
data_La2YZrV
_cell_length_a 5.8021
_cell_length_b 5.8021
_cell_length_c 4.7641
_cell_angle_alpha 90.00
_cell_angle_beta 90.00
_cell_angle_gamma 90.00
_space_group_name_H-M_alt 'P 4/m m m'
_space_group_IT_number 123
_space_group_name_Hall '-P 4 2'
loop_
_atom_site_label
_atom_site_type_symbol
_atom_site_fract_x
_atom_site_fract_y
_atom_site_fract_z
La1 La 0.0000 0.5000 0.0000
Y1 Y 0.0000 0.0000 0.5000
Zr1 Zr 0.5000 0.5000 0.0000
V1 V 0.5000 0.5000 0.5000